No. 1
## CdFe2Cl (PBE)

Data for an optimized crystal structure of CdFe2Cl.

Output
Polymorph energy (0 for the lowest one) (meV per atom): 229
D(E_F) (states/eV/cell): 2.73
Formation energy from raw total energies (eV/atom): 0.3109
Theoretical density (g/cm³): 6.79

a b c (Å): 8.478 8.478 8.478
angles (deg): 20.18 20.18 20.18
Each line ends with the local moment (μB).
Positions (direct):
Cd: 0.250 0.250 0.250  -0.04
Fe: 0.008 0.008 0.008  2.88
Cl: 0.750 0.750 0.750  0.13
Fe: 0.492 0.492 0.492  2.88

***

No. 2
## KSn3Pt (PBE)

Data for an optimized crystal structure of KSn3Pt.

Output
Polymorph energy (0 for the lowest one) (meV per atom): 1997
D(E_F) (states/eV/cell): 5.29
Energy of formation from the pure elements (eV per atom): 1.61
Theoretical density (g/cm³): 5.48

a b c (Å): 5.634 5.634 5.634
angles (deg): 90.00 90.00 90.00
Positions (direct):
Sn: 0.000 0.000 0.500
Pt: 0.500 0.500 0.500
K: 0.000 0.000 0.000
Sn: 0.500 0.000 0.000
Sn: 0.000 0.500 0.000

***

No. 3
## Sm4ThSc2 (PBE)

Data for an optimized crystal structure of Sm4ThSc2.

Output
D(E_F) (states/eV/cell): 47.16
Energy of formation from the pure elements (eV per atom): 0.18
Theoretical density (g/cm³): 6.92

a b c (Å): 7.055 11.220 11.220
angles (deg): 85.81 90.00 90.00
Positions (direct):
Sm: 0.250 0.997 0.223
Sm: 0.750 0.503 0.277
Sm: 0.750 0.777 0.003
Sm: 0.250 0.277 0.503
Sc: 0.500 0.750 0.750
Sm: 0.750 0.723 0.497
Sc: 0.500 0.250 0.250
Sm: 0.250 0.723 0.497
Sm: 0.750 0.223 0.997
Sm: 0.750 0.277 0.503
Sc: 0.000 0.250 0.750
Sm: 0.250 0.223 0.997
Sc: 0.000 0.750 0.250
Th: 0.000 0.500 0.000
Sm: 0.750 0.497 0.723
Sm: 0.750 0.003 0.777
Sc: 0.500 0.250 0.750
Th: 0.500 0.000 0.500
Th: 0.500 0.500 0.000
Sm: 0.250 0.497 0.723
Sm: 0.250 0.503 0.277
Sm: 0.250 0.777 0.003
Sc: 0.000 0.750 0.750
Sc: 0.000 0.250 0.250
Th: 0.000 0.000 0.500
Sm: 0.750 0.997 0.223
Sc: 0.500 0.750 0.250
Sm: 0.250 0.003 0.777

***

No. 4
## KZnSb2 (PBE)

Data for an optimized crystal structure of KZnSb2.

Output
D(E_F) (states/eV/cell): 1.92
Formation energy from raw total energies (eV/atom): 0.0771
Theoretical density (g/cm³): 5.26

a b c (Å): 7.474 6.163 3.150
angles (deg): 89.93 65.20 119.94
Positions (direct):
Zn: 0.000 0.500 0.500
Sb: 0.500 0.000 0.500
Sb: 0.000 0.000 0.000
K: 0.500 0.500 0.000

***

No. 5
## LaCuNi2 (PBE)

Data for an optimized crystal structure of LaCuNi2.

Output
D(E_F) (states/eV/cell): 1.23
Energy of formation from the pure elements (eV per atom): -0.01
Theoretical density (g/cm³): 8.09

a b c (Å): 4.209 6.843 3.714
angles (deg): 56.85 90.19 124.86
Positions (direct):
Ni: 0.000 0.000 0.000
Cu: 0.500 0.500 0.000
Ni: 0.000 0.500 0.500
La: 0.500 0.000 0.500

***

No. 6
## LaBeIr2 (PBE)

Data for an optimized crystal structure of LaBeIr2.

Output
D(E_F) (states/eV/cell): 3.30
Energy of formation from the pure elements (eV per atom): -0.21
Theoretical density (g/cm³): 12.83

a b c (Å): 3.673 2.931 6.443
angles (deg): 83.40 90.00 90.00
Positions (direct):
La: 0.500 0.250 0.250
Ir: 0.000 0.980 0.930
Be: 0.500 0.750 0.750
Ir: 0.000 0.520 0.570

***

No. 7
## RePd2W (PBE)

Data for an optimized crystal structure of RePd2W.

Output
Polymorph energy (0 for the lowest one) (meV per atom): 211
D(E_F) (states/eV/cell): 6.83
Energy of formation from the pure elements (eV per atom): 0.84
Theoretical density (g/cm³): 14.52

a b c (Å): 7.127 7.127 5.682
angles (deg): 51.16 51.16 90.00
Positions (direct):
W: 0.500 0.500 0.000
Pd: 0.375 0.377 0.750
Re: 0.750 0.250 0.500
Pd: 0.127 0.625 0.250
Pd: 0.623 0.125 0.250
Pd: 0.875 0.873 0.750
W: 0.250 0.750 0.500
Re: 0.000 0.000 0.000

***

No. 8
## Y2CoCl (PBE)

Data for an optimized crystal structure of Y2CoCl.

Output
Polymorph energy (0 for the lowest one) (meV per atom): 1216
D(E_F) (states/eV/cell): 4.92
Formation energy from raw total energies (eV/atom): 0.3896
Theoretical density (g/cm³): 5.25

a b c (Å): 4.957 4.957 4.957
angles (deg): 60.00 60.00 60.00
Each line ends with the local moment (μB).
Positions (direct):
Cl: 0.500 0.500 0.500  0.01
Co: 0.750 0.750 0.750  0.74
Y: 0.250 0.250 0.250  -0.09
Y: 0.000 0.000 0.000  -0.20